HfTi2Al3: optimized geometry, PBE-GGA.

E ... -6.33 eV per atom
DOS(E_F) ... 1.081 states/eV per atom
Symmetry ... Cmmm, No. 65
Relative energy among the computed polymorphs ... 211 meV per atom
Spin magnetization ... 1.3 μB per cell

a = 5.280 Å, b = 9.054 Å, c = 6.966 Å
α = 130.53°, β = 112.27°, γ = 90.00°
Site moments in Bohr magnetons follow the coordinates.
Fractional positions:
Hf 0.500 0.250 0.500  0.20
Hf 0.500 0.750 0.500  0.20
Ti 0.166 0.916 0.832  0.12
Ti 0.166 0.416 0.832  0.12
Ti 0.834 0.584 0.168  0.12
Ti 0.834 0.084 0.168  0.12
Al 0.000 0.750 0.000  0.00
Al 0.000 0.250 0.000  0.00
Al 0.500 0.750 0.000  0.00
Al 0.000 0.000 0.500  0.00
Al 0.000 0.500 0.500  0.00
Al 0.500 0.250 0.000  0.00